{
  "formula": "NaNbPd2",
  "functional": "PBE",
  "state": "optimized geometry",
  "lattice": [[2.933, 0.000, 0.000], [1.467, 2.540, 0.000], [1.467, 0.847, 9.469]],
  "species": ["Na", "Nb", "Pd", "Pd"],
  "frac_coords": [[0.000, 0.000, 0.000], [0.500, 0.500, 0.500], [0.755, 0.755, 0.734], [0.245, 0.245, 0.266]],
  "dos_ef_per_ev_cell": 3.19,
  "total_energy_ev_per_atom": -5.549,
  "spacegroup": "R-3m (166)"
}